VASP calculation (PBE) on an optimized crystal structure of FeCoP6.

```
data_FeCoP6
_chemical_formula_sum 'Fe2 Co2 P12'
_cell_length_a 6.691
_cell_length_b 6.691
_cell_length_c 7.736
_cell_angle_alpha 125.15
_cell_angle_beta 125.15
_cell_angle_gamma 70.62
_symmetry_space_group_name_H-M 'P 1'
_symmetry_Int_Tables_number 1
_symmetry_space_group_name_Hall 'P 1'
loop_
_atom_site_label
_atom_site_type_symbol
_atom_site_fract_x
_atom_site_fract_y
_atom_site_fract_z
_atom_site_occupancy
Fe1 Fe 0.000 0.500 0.000 1
Fe2 Fe 0.500 0.000 0.000 1
Co1 Co 0.000 0.500 0.500 1
Co2 Co 0.500 0.000 0.500 1
P1 P 0.145 0.852 0.350 1
P2 P 0.148 0.855 0.650 1
P3 P 0.205 0.503 0.855 1
P4 P 0.351 0.351 0.497 1
P5 P 0.352 0.352 0.205 1
P6 P 0.497 0.795 0.145 1
P7 P 0.503 0.205 0.855 1
P8 P 0.648 0.648 0.795 1
P9 P 0.649 0.649 0.503 1
P10 P 0.795 0.497 0.145 1
P11 P 0.852 0.145 0.350 1
P12 P 0.855 0.148 0.650 1
```

Properties
Total magnetization = 0.7 Bohr magnetons per cell
Fermi-level density of states = 3.97 states/eV/f.u.
Energy of formation = -421 meV per atom